! Na2Nb3S6 (PBEsol, relaxed); values from VASP
! ΔE_f (raw) = -29.43 kcal/mol of atoms
! calculated total energy = -151.21 eV per cell
! total magnetic moment = 0.000 μB per formula unit
&SYSTEM
  ibrav = 0, nat = 22, ntyp = 3
/
ATOMIC_SPECIES
Nb 92.91 Nb.upf
S 32.06 S.upf
Na 22.99 Na.upf
CELL_PARAMETERS angstrom
-4.3625 -2.5904 -2.8221
-3.7061 -3.4105 2.8878
-11.1309 9.3781 2.6266
ATOMIC_POSITIONS angstrom
Nb -11.0539 0.8252 0.4055
S -7.2326 1.3326 2.0036
Na -10.1836 -3.1501 0.7183
S -11.7488 1.7721 2.5860
S -11.4569 7.0147 3.3171
Na -11.7048 4.5260 1.9957
S -7.5219 -3.9133 1.2951
Nb -2.6915 -1.9977 0.0225
Nb -16.5080 5.3749 2.6698
S -9.0522 3.7754 2.5742
S -6.5133 -2.5062 -1.5828
Na -9.0159 6.5273 1.9740
Na -7.4948 -1.1488 0.6966
Nb 0.0000 0.0000 0.0000
S -4.8286 -1.9072 1.2602
S -8.9159 0.7351 -0.8415
Nb -8.3645 2.8254 0.3836
S -13.1247 6.4312 0.4610
S -9.9269 -0.6736 2.0357
Nb -9.3810 1.4152 3.2493
S -14.1532 5.0124 3.3261
S -10.7223 3.1901 -0.2812